A plane-wave DFT calculation with PBE+U was carried out for a relaxed YFeGe2O7 crystal.

a = 6.9509 Å, b = 6.9509 Å, c = 6.7420 Å
α = 110.91°, β = 110.91°, γ = 77.26°
With the nearest neighbours (Å) after each atom.
Sites, in units of the cell vectors:
Y  0.2079  0.7921  0.0000  6 O 2.24-2.45
Y  0.7921  0.2079  0.0000  6 O 2.24-2.45
Fe  0.3041  0.6959  0.5000  6 O 1.99-2.17
Fe  0.6959  0.3041  0.5000  6 O 1.99-2.17
Ge  0.2190  0.2190  0.5163  4 O 1.78-1.80
Ge  0.3024  0.3024  0.0752  4 O 1.74-1.83
Ge  0.6976  0.6976  0.9248  4 O 1.74-1.83
Ge  0.7810  0.7810  0.4837  4 O 1.78-1.80
O  0.0531  0.7245  0.5966  1 Ge 1.78
O  0.1312  0.1312  0.0315  1 Ge 1.74
O  0.2130  0.5675  0.1709  1 Ge 1.77
O  0.2755  0.9469  0.4034  1 Ge 1.78
O  0.3158  0.3158  0.8140  2 Ge 1.79-1.83
O  0.3660  0.3660  0.4607  1 Ge 1.80
O  0.4325  0.7870  0.8291  1 Ge 1.77
O  0.5675  0.2130  0.1709  1 Ge 1.77
O  0.6340  0.6340  0.5393  1 Ge 1.80
O  0.6842  0.6842  0.1860  2 Ge 1.79-1.83
O  0.7245  0.0531  0.5966  1 Ge 1.78
O  0.7870  0.4325  0.8291  1 Ge 1.77
O  0.8688  0.8688  0.9685  1 Ge 1.74
O  0.9469  0.2755  0.4034  1 Ge 1.78

Values from the calculation:
VASP energy in eV per atom: -7.18